Material: AcAs2Pd5Rh
Method: DFT, PBE-GGA
State: optimized geometry

a b c (Å): 4.380 4.380 10.046
angles (deg): 90.00 90.00 90.00
Space group P4/mmm (No. 123)
Asymmetric unit:
Ac: 0.000 0.000 0.000 (multiplicity 1)
As: 0.500 0.500 0.237 (multiplicity 2)
Pd: 0.000 0.500 0.344 (multiplicity 4)
Pd: 0.500 0.500 0.000 (multiplicity 1)
Rh: 0.500 0.500 0.500 (multiplicity 1)

Computed properties:
The value obtained for the density of states at the Fermi level is 0.871 states/eV/atom. The calculated total energy comes out at -49.0 eV for the cell shown. The formation energy comes out at -0.26 eV/atom.